Entry from Alexandria via LeMat-Bulk: a geometry-optimized VSeF structure (PBE+U).

The space group is P-1 (No. 2) and the conventional cell measures 3.464, 5.590 and 6.690 Å, with angles of 107.28, 98.99 and 90.01 degrees. The inequivalent atoms are V at (0.248, 0.264, 0.493), Se at (0.331, 0.674, 0.769) and F at (0.211, 0.871, 0.372).

The value obtained for the magnetization is 2.0 μB per formula unit. For the total energy, the calculation gives -5.697 eV/atom.